Entry 1:
Compound: HfIr2I
Source: Alexandria
Functional: PBE
Structure: relaxed

```
data_HfIr2I
_chemical_formula_sum 'Hf4 Ir8 I4'
_space_group_name_H-M_alt 'I -4 2 d'
_space_group_IT_number 122
_space_group_name_Hall 'I -4 2bw'
_cell_length_a 5.8283
_cell_length_b 5.8283
_cell_length_c 12.3559
_cell_angle_alpha 90.00
_cell_angle_beta 90.00
_cell_angle_gamma 90.00
loop_
_atom_site_label
_atom_site_type_symbol
_atom_site_fract_x
_atom_site_fract_y
_atom_site_fract_z
Hf1 Hf 0.0000 0.0000 0.0000
Ir1 Ir 0.2465 0.2500 0.6250
I1 I 0.0000 0.0000 0.5000
```

Calculated values
Magnetic moment = 0.000 μB per cell
Offset from the most stable computed form = 79 meV per atom



Entry 2:
Compound: HfIrI2
Source: Alexandria
Functional: PBE
Structure: relaxed

```
data_HfIrI2
_chemical_formula_sum 'Hf4 Ir4 I8'
_space_group_name_H-M_alt 'F m -3 m'
_space_group_IT_number 225
_space_group_name_Hall '-F 4 2 3'
_cell_length_a 7.0290
_cell_length_b 7.0290
_cell_length_c 7.0290
_cell_angle_alpha 90.00
_cell_angle_beta 90.00
_cell_angle_gamma 90.00
loop_
_atom_site_label
_atom_site_type_symbol
_atom_site_fract_x
_atom_site_fract_y
_atom_site_fract_z
Hf1 Hf 0.0000 0.0000 0.0000
Ir1 Ir 0.0000 0.0000 0.5000
I1 I 0.2500 0.2500 0.2500
```

Calculated values
Magnetic moment = 0.000 μB per cell
Offset from the most stable computed form = 0 meV per atom



Entry 3:
Compound: HfIr2I
Source: Alexandria
Functional: PBE
Structure: relaxed

```
data_HfIr2I
_chemical_formula_sum 'Hf4 Ir8 I4'
_space_group_name_H-M_alt 'F m -3 m'
_space_group_IT_number 225
_space_group_name_Hall '-F 4 2 3'
_cell_length_a 6.7041
_cell_length_b 6.7041
_cell_length_c 6.7041
_cell_angle_alpha 90.00
_cell_angle_beta 90.00
_cell_angle_gamma 90.00
loop_
_atom_site_label
_atom_site_type_symbol
_atom_site_fract_x
_atom_site_fract_y
_atom_site_fract_z
Hf1 Hf 0.0000 0.0000 0.0000
Ir1 Ir 0.2500 0.2500 0.2500
I1 I 0.0000 0.0000 0.5000
```

Calculated values
Magnetic moment = 0.000 μB per cell
Offset from the most stable computed form = 0 meV per atom



Entry 4:
Compound: HfIrI3
Source: Alexandria
Functional: PBE
Structure: relaxed

```
data_HfIrI3
_chemical_formula_sum 'Hf1 Ir1 I3'
_space_group_name_H-M_alt 'P m -3 m'
_space_group_IT_number 221
_space_group_name_Hall '-P 4 2 3'
_cell_length_a 5.6307
_cell_length_b 5.6307
_cell_length_c 5.6307
_cell_angle_alpha 90.00
_cell_angle_beta 90.00
_cell_angle_gamma 90.00
loop_
_atom_site_label
_atom_site_type_symbol
_atom_site_fract_x
_atom_site_fract_y
_atom_site_fract_z
Hf1 Hf 0.0000 0.0000 0.0000
Ir1 Ir 0.5000 0.5000 0.5000
I1 I 0.0000 0.0000 0.5000
```

Calculated values
Magnetic moment = 2.352 μB per cell
Offset from the most stable computed form = 83 meV per atom



Entry 5:
Compound: HfIrI3
Source: Alexandria
Functional: PBE
Structure: relaxed

```
data_HfIrI3
_chemical_formula_sum 'Hf1 Ir1 I3'
_space_group_name_H-M_alt 'P m -3 m'
_space_group_IT_number 221
_space_group_name_Hall '-P 4 2 3'
_cell_length_a 5.3215
_cell_length_b 5.3215
_cell_length_c 5.3215
_cell_angle_alpha 90.00
_cell_angle_beta 90.00
_cell_angle_gamma 90.00
loop_
_atom_site_label
_atom_site_type_symbol
_atom_site_fract_x
_atom_site_fract_y
_atom_site_fract_z
Hf1 Hf 0.0000 0.0000 0.0000
Ir1 Ir 0.5000 0.5000 0.5000
I1 I 0.0000 0.5000 0.5000
```

Calculated values
Magnetic moment = 1.026 μB per cell
Offset from the most stable computed form = 0 meV per atom



Entry 6:
Compound: HfIrI2
Source: Alexandria
Functional: PBE
Structure: relaxed

```
data_HfIrI2
_chemical_formula_sum 'Hf4 Ir4 I8'
_space_group_name_H-M_alt 'I -4 2 d'
_space_group_IT_number 122
_space_group_name_Hall 'I -4 2bw'
_cell_length_a 6.4269
_cell_length_b 6.4269
_cell_length_c 11.5155
_cell_angle_alpha 90.00
_cell_angle_beta 90.00
_cell_angle_gamma 90.00
loop_
_atom_site_label
_atom_site_type_symbol
_atom_site_fract_x
_atom_site_fract_y
_atom_site_fract_z
Hf1 Hf 0.0000 0.0000 0.0000
Ir1 Ir 0.0000 0.0000 0.5000
I1 I 0.2246 0.2500 0.6250
```

Calculated values
Magnetic moment = 0.000 μB per cell
Offset from the most stable computed form = 162 meV per atom